First-principles (PBE-GGA) data for a relaxed Nd5Dy2Er12 crystal, as listed in Alexandria.

abc: 7.015 9.783 10.365
angles: 70.36 90.00 111.01
Fractional coordinates of all 19 atoms:
Nd  0.187  0.375  0.818
Nd  0.319  0.638  0.210
Nd  0.000  0.000  0.500
Nd  0.681  0.362  0.790
Nd  0.813  0.625  0.182
Dy  0.728  0.000  0.000
Dy  0.272  0.000  0.000
Er  0.975  0.950  0.247
Er  0.089  0.684  0.868
Er  0.595  0.684  0.868
Er  0.090  0.674  0.521
Er  0.584  0.674  0.521
Er  0.498  0.996  0.675
Er  0.502  0.004  0.325
Er  0.910  0.326  0.479
Er  0.416  0.326  0.479
Er  0.911  0.316  0.132
Er  0.405  0.316  0.132
Er  0.025  0.050  0.753

Computed properties:
volume	32.6	Å³ per atom
ΔE_f	3.400	eV/f.u.
space-group type	No. 12
energy above the most stable polymorph in this dataset	2.20	eV/f.u.

First-principles (PBE-GGA) data for a relaxed Sm3SiB2Rh9 crystal, as listed in Alexandria.

abc: 6.106 6.106 7.494
angles: 90.00 90.00 120.00
Fractional coordinates of all 15 atoms:
Sm  0.333  0.667  0.666
Sm  0.000  0.000  0.000
Sm  0.667  0.333  0.334
Si  0.000  0.000  0.500
B  0.333  0.667  0.150
B  0.667  0.333  0.850
Rh  0.825  0.175  0.680
Rh  0.825  0.649  0.680
Rh  0.351  0.175  0.680
Rh  0.649  0.825  0.320
Rh  0.175  0.351  0.320
Rh  0.175  0.825  0.320
Rh  0.500  0.000  0.000
Rh  0.000  0.500  0.000
Rh  0.500  0.500  0.000

Computed properties:
volume	16.1	Å³ per atom
uncorrected formation energy	-0.740	eV per atom
space-group type	No. 164

First-principles (PBE-GGA) data for a relaxed La2Hg3Pd5 crystal, as listed in Alexandria.

abc: 5.821 9.207 9.207
angles: 90.37 71.57 71.57
Fractional coordinates of all 20 atoms:
La  0.129  0.663  0.079
La  0.629  0.079  0.663
La  0.871  0.337  0.921
La  0.371  0.921  0.337
Hg  0.393  0.461  0.753
Hg  0.893  0.753  0.461
Hg  0.607  0.539  0.247
Hg  0.107  0.247  0.539
Hg  0.250  0.000  0.000
Hg  0.750  0.000  0.000
Pd  0.357  0.291  0.994
Pd  0.857  0.994  0.291
Pd  0.643  0.709  0.006
Pd  0.143  0.006  0.709
Pd  0.505  0.745  0.745
Pd  0.495  0.255  0.255
Pd  0.750  0.500  0.500
Pd  0.250  0.500  0.500
Pd  0.995  0.255  0.255
Pd  0.005  0.745  0.745

Computed properties:
volume	22.0	Å³ per atom
ΔE_f	-4.721	eV/f.u.
space-group type	No. 72

First-principles (PBE-GGA) data for a relaxed MgMoHRh2 crystal, as listed in Alexandria.

abc: 4.834 3.306 4.834
angles: 90.00 90.00 90.00
Fractional coordinates of all 5 atoms:
H  0.000  0.500  0.000
Mo  0.000  0.000  0.000
Rh  0.000  0.000  0.500
Rh  0.500  0.000  0.000
Mg  0.500  0.500  0.500

Computed properties:
volume	15.5	Å³ per atom
space-group type	No. 123
VASP energy	-5.6688	eV/atom

First-principles (PBE-GGA) data for a relaxed CsCdC3 crystal, as listed in Alexandria.

abc: 4.657 4.657 4.657
angles: 90.00 90.00 90.00
Each line ends with the local moment (μB).
Fractional coordinates of all 5 atoms:
Cs  0.000  0.000  0.000  0.03
C  0.000  0.500  0.000  0.30
C  0.000  0.000  0.500  0.29
C  0.500  0.000  0.000  0.26
Cd  0.500  0.500  0.500  -0.02

Computed properties:
volume	20.2	Å³ per atom
ΔE_f	20.012	eV/f.u.
space-group type	No. 221
energy above the most stable polymorph in this dataset	5.05	eV/f.u.

First-principles (PBE-GGA) data for a relaxed SrCd2InHg crystal, as listed in Alexandria.

abc: 6.269 6.089 6.269
angles: 90.00 90.00 90.00
Fractional coordinates of all 5 atoms:
Sr  0.000  0.000  0.000
Cd  0.000  0.000  0.500
Cd  0.500  0.000  0.000
Hg  0.000  0.500  0.000
In  0.500  0.500  0.500

Computed properties:
volume	47.9	Å³ per atom
ΔE_f	2.534	eV/f.u.
space-group type	No. 123
energy above the most stable polymorph in this dataset	4.02	eV/f.u.

First-principles (PBE-GGA) data for a relaxed LiYOs2 crystal, as listed in Alexandria.

abc: 4.587 2.895 4.996
angles: 82.64 90.00 90.00
Fractional coordinates of all 4 atoms:
Li  0.500  0.750  0.750
Os  0.000  0.948  0.974
Os  0.000  0.552  0.526
Y  0.500  0.250  0.250

Computed properties:
volume	16.5	Å³ per atom
ΔE_f	1.028	eV/f.u.
space-group type	No. 10
energy above the most stable polymorph in this dataset	0.25	eV/f.u.

First-principles (PBE-GGA) data for a relaxed Y3Ga7Pt2 crystal, as listed in Alexandria.

abc: 4.219 4.246 13.434
angles: 98.98 90.00 90.00
Fractional coordinates of all 12 atoms:
Y  0.500  0.500  0.000
Y  0.000  0.183  0.361
Y  0.000  0.817  0.639
Ga  0.500  0.725  0.450
Ga  0.500  0.275  0.550
Ga  0.000  0.585  0.162
Ga  0.000  0.000  0.000
Ga  0.000  0.415  0.838
Ga  0.500  0.918  0.838
Ga  0.500  0.082  0.162
Pt  0.500  0.632  0.265
Pt  0.500  0.368  0.735

Computed properties:
volume	19.8	Å³ per atom
ΔE_f	-9.279	eV/f.u.
space-group type	No. 10